# Li6Mn5SbO12

Crystalline Li6Mn5SbO12 at its relaxed geometry (PBE with a Hubbard U, Alexandria).

Cell: 5.5408 11.4054 9.1091 Å, 113.53 90.00 84.66°
Last column: magnetic moment on the atom in μB.
Atoms (fractional coordinates):
Li (0.6006, 0.2835, 0.1388)  0.00
Li (0.3976, 0.7141, 0.5275)  0.00
Li (0.8976, 0.7141, 0.6864)  0.00
Li (0.8995, 0.7165, 0.3610)  0.00
Li (0.1004, 0.2836, 0.6446)  0.00
Li (0.1025, 0.2860, 0.9724)  0.00
Li (0.8959, 0.7132, 0.0235)  0.00
Li (0.1041, 0.2868, 0.3103)  0.00
Li (0.6025, 0.2859, 0.8134)  0.00
Li (0.3958, 0.7132, 0.1895)  0.00
Li (0.3995, 0.7165, 0.8553)  0.00
Li (0.6041, 0.2867, 0.4763)  0.00
O (0.6209, 0.1033, 0.7236)  0.01
O (0.3705, 0.8924, 0.2977)  0.03
O (0.6027, 0.6084, 0.3047)  -0.03
O (0.8791, 0.8967, 0.7766)  0.01
O (0.1600, 0.0993, 0.5649)  0.00
O (0.1209, 0.1033, 0.8799)  0.01
O (0.0936, 0.6150, 0.4865)  0.05
O (0.8399, 0.9007, 0.4657)  0.00
O (0.6601, 0.0993, 0.0346)  0.00
O (0.1294, 0.1076, 0.2026)  0.03
O (0.4090, 0.3846, 0.3716)  0.05
O (0.6294, 0.1075, 0.4051)  0.03
O (0.8706, 0.8924, 0.0950)  0.03
O (0.9089, 0.3846, 0.5129)  0.05
O (0.8973, 0.3916, 0.1952)  -0.03
O (0.3973, 0.3916, 0.6963)  -0.03
O (0.4064, 0.3849, 0.0134)  0.05
O (0.3791, 0.8967, 0.6204)  0.01
O (0.5936, 0.6151, 0.6284)  0.05
O (0.0911, 0.6154, 0.1283)  0.05
O (0.3400, 0.9007, 0.9353)  0.00
O (0.5910, 0.6154, 0.9870)  0.05
O (0.9064, 0.3850, 0.8715)  0.05
O (0.1027, 0.6084, 0.8035)  -0.03
Mn (0.2497, 0.4993, 0.5826)  3.92
Mn (0.7503, 0.5006, 0.0832)  3.92
Mn (0.7500, 0.5000, 0.7499)  4.59
Mn (0.0000, 0.0000, 0.3320)  4.62
Mn (0.5000, 0.9999, 0.1682)  4.62
Mn (0.2500, 0.5000, 0.2499)  4.59
Mn (0.0000, 0.0000, 0.6672)  3.94
Mn (0.7497, 0.4994, 0.4166)  3.92
Mn (0.5000, 0.0000, 0.8331)  3.94
Mn (0.2504, 0.5007, 0.9173)  3.92
Sb (0.0000, 0.0000, 0.9955)  0.03
Sb (0.5000, 0.0000, 0.5048)  0.03

Electronic total energy in eV per atom: -6.45
Space-group type: C2/c, No. 15
Volume in Å³/cell: 525